Cu2AsP, optimized geometry, DFT GGA-PBE; total DFT energy (no corrections) = -17.12 eV/cell; E_form = 0.2821 eV per atom; energy relative to the lowest polymorph listed for this composition = 184 meV/atom; spin magnetization = 0.000 μB per formula unit; calculated volume = 14.6 Å³ per atom
1.0
2.6149 -3.3443 0.0000
2.6149 3.3443 0.0000
-0.0540 0.0000 3.3452
Cu As P
2 1 1
direct
0.0000 0.5000 0.0000
0.5000 0.0000 0.0000
0.0000 0.0000 0.5000
0.5000 0.5000 0.5000

=====

Cu8As2P, optimized geometry, DFT GGA-PBE; total DFT energy (no corrections) = -46.90 eV/cell; E_form = 0.0524 eV per atom; spin magnetization = 0.000 μB per formula unit; calculated volume = 13.6 Å³ per atom
1.0
-1.8946 3.5537 5.5701
1.8946 -3.5537 5.5701
1.8946 3.5537 -5.5701
Cu As P
8 2 1
direct
0.0827 0.3412 0.7415
0.1842 0.1842 0.0000
0.2273 0.0000 0.2273
0.4003 0.6588 0.7415
0.5997 0.3412 0.2585
0.7727 0.0000 0.7727
0.8158 0.8158 0.0000
0.9173 0.6588 0.2585
0.3466 0.8466 0.5000
0.6534 0.1534 0.5000
0.0000 0.5000 0.5000

=====

Cu2AsP, optimized geometry, DFT GGA-PBE; total DFT energy (no corrections) = -17.45 eV/cell; E_form = 0.1996 eV per atom; energy relative to the lowest polymorph listed for this composition = 102 meV/atom; spin magnetization = 0.000 μB per formula unit; calculated volume = 15.5 Å³ per atom
1.0
2.6824 0.0000 0.0000
0.0000 2.6824 0.0000
0.0000 0.0000 8.6348
Cu As P
2 1 1
direct
0.0000 0.0000 0.0000
0.5000 0.5000 0.2107
0.5000 0.5000 0.7817
0.0000 0.0000 0.3992

=====

Cu2AsP, optimized geometry, DFT GGA-PBE; total DFT energy (no corrections) = -16.99 eV/cell; E_form = 0.3153 eV per atom; energy relative to the lowest polymorph listed for this composition = 218 meV/atom; spin magnetization = 0.000 μB per formula unit; calculated volume = 14.5 Å³ per atom
1.0
-1.8480 1.8480 4.2526
1.8480 -1.8480 4.2526
1.8480 1.8480 -4.2526
Cu As P
2 1 1
direct
0.0000 0.0000 0.0000
0.7500 0.2500 0.5000
0.5000 0.5000 0.0000
0.2500 0.7500 0.5000

=====

Which formula does entry 1 have? Cu2AsP